(1)
DFT (PBEsol) results for a relaxed ReSi2Cl crystal.

Cell and atoms, written as POSCAR:
```
ReSi2Cl
1.0
-0.115 2.095 2.066
-3.984 1.377 -1.618
-1.566 -4.000 1.872
Re Si Cl
1 2 1
direct
0.000 0.500 0.000
0.276 0.281 0.551
0.724 0.719 0.449
0.500 0.000 0.000
```

Output
- Magnetization: 0.0 Bohr magnetons per cell
- D(E_F): 2.25 states/eV/cell
- E_form (uncorrected): 0.508 eV/atom


(2)
DFT (PBEsol) results for a relaxed ReSiCl2 crystal.

Cell and atoms, written as POSCAR:
```
ReSiCl2
1.0
2.793 0.000 0.000
0.000 4.348 0.000
0.000 0.000 5.103
Cl Re Si
2 1 1
direct
0.000 0.000 0.000
0.500 0.000 0.500
0.500 0.500 0.000
0.000 0.500 0.500
```

Output
- Magnetization: 0.4 Bohr magnetons per cell
- D(E_F): 3.29 states/eV/cell
- E_form (uncorrected): 0.695 eV/atom


(3)
DFT (PBEsol) results for a relaxed ReSi2Cl crystal.

Cell and atoms, written as POSCAR:
```
ReSi2Cl
1.0
2.792 0.000 0.000
0.000 3.952 0.000
-1.396 -1.976 7.028
Si Re Cl
2 1 1
direct
0.938 0.938 0.876
0.763 0.263 0.526
0.287 0.787 0.574
0.512 0.512 0.025
```

Output
- Magnetization: 0.0 Bohr magnetons per cell
- D(E_F): 1.70 states/eV/cell
- E_form (uncorrected): 0.280 eV/atom